(1)
Here is crystalline KTmPbF6 at its relaxed geometry from the Alexandria database. Energies are from PBE-GGA.

Summary:
SG: No. 149
Total energy (eV/atom): -5.53
E_form (uncorrected) (meV/atom): -3251

Unit cell a=6.342 b=6.342 c=5.187 alpha=90.00 beta=90.00 gamma=120.00
Positions (direct):
K1 0.000 0.000 0.000
Tm1 0.667 0.333 0.500
Pb1 0.333 0.667 0.500
F1 0.384 0.037 0.719
F2 0.384 0.347 0.281
F3 0.653 0.037 0.281
F4 0.653 0.616 0.719
F5 0.963 0.347 0.719
F6 0.963 0.616 0.281


(2)
Here is crystalline Sc2Tl2Cu at its relaxed geometry from the Alexandria database. Energies are from PBE-GGA.

Summary:
SG: No. 127
Relative energy among the computed polymorphs (meV per atom): 0.0
Total energy (eV/atom): -4.38
E_form (kJ per mole of atoms): -7.5

Unit cell a=7.091 b=7.091 c=4.461 alpha=90.00 beta=90.00 gamma=90.00
Positions (direct):
Sc1 0.162 0.338 0.000
Sc2 0.338 0.838 0.000
Sc3 0.662 0.162 0.000
Sc4 0.838 0.662 0.000
Tl1 0.148 0.648 0.500
Tl2 0.352 0.148 0.500
Tl3 0.648 0.852 0.500
Tl4 0.852 0.352 0.500
Cu1 0.000 0.000 0.500
Cu2 0.500 0.500 0.500


(3)
Here is crystalline CoAuIN2 at its relaxed geometry from the Alexandria database. Energies are from PBE-GGA.

Summary:
SG: No. 123
Relative energy among the computed polymorphs (meV per atom): 699.5
Total energy (eV/atom): -3.80
E_form (uncorrected) (meV/atom): 1915

Unit cell a=3.849 b=3.849 c=8.354 alpha=90.00 beta=90.00 gamma=90.00
Positions (direct):
Co1 0.000 0.000 0.000
Au1 0.500 0.500 0.500
I1 0.500 0.500 0.000
N1 0.000 0.500 0.500
N2 0.500 0.000 0.500


(4)
Here is crystalline PrY8Ho2 at its relaxed geometry from the Alexandria database. Energies are from PBE-GGA.

Summary:
SG: No. 12
Relative energy among the computed polymorphs (meV per atom): 18.6
Total energy (eV/atom): -5.81
E_form (kJ per mole of atoms): 15.5

Unit cell a=9.329 b=9.329 c=5.895 alpha=105.48 beta=105.48 gamma=121.97
Positions (direct):
Pr1 0.000 0.000 0.000
Y1 0.099 0.339 0.680
Y2 0.206 0.794 0.000
Y3 0.339 0.099 0.680
Y4 0.430 0.430 0.208
Y5 0.570 0.570 0.792
Y6 0.661 0.901 0.320
Y7 0.794 0.206 0.000
Y8 0.901 0.661 0.320
Ho1 0.308 0.692 0.500
Ho2 0.692 0.308 0.500


(5)
Here is crystalline Zn4CdSe5 at its relaxed geometry from the Alexandria database. Energies are from PBE-GGA.

Summary:
SG: No. 160
Total energy (eV/atom): -3.02
E_form (uncorrected) (meV/atom): -677

Unit cell a=17.053 b=17.053 c=17.053 alpha=13.87 beta=13.87 gamma=13.87
Positions (direct):
Zn1 0.000 0.000 0.000
Zn2 0.194 0.194 0.194
Zn3 0.398 0.398 0.398
Zn4 0.796 0.796 0.796
Cd1 0.598 0.598 0.598
Se1 0.049 0.049 0.049
Se2 0.243 0.243 0.243
Se3 0.447 0.447 0.447
Se4 0.651 0.651 0.651
Se5 0.845 0.845 0.845


(6)
Here is crystalline FeAgSN2 at its relaxed geometry from the Alexandria database. Energies are from PBE-GGA.

Summary:
SG: No. 123
Relative energy among the computed polymorphs (meV per atom): 0.0
Total energy (eV/atom): -5.64
E_form (uncorrected) (meV/atom): 777

Unit cell a=3.569 b=3.569 c=5.277 alpha=90.00 beta=90.00 gamma=90.00
Positions (direct):
Fe1 0.000 0.000 0.000
Ag1 0.500 0.500 0.500
S1 0.000 0.000 0.500
N1 0.000 0.500 0.000
N2 0.500 0.000 0.000


(7)
Here is crystalline TlPSe at its relaxed geometry from the Alexandria database. Energies are from PBE-GGA.

Summary:
SG: No. 216
Relative energy among the computed polymorphs (meV per atom): 319.0
Total energy (eV/atom): -3.29
E_form (uncorrected) (meV/atom): 463

Unit cell a=4.769 b=4.769 c=4.769 alpha=60.00 beta=60.00 gamma=60.00
Positions (direct):
Tl1 0.000 0.000 0.000
P1 0.250 0.250 0.250
Se1 0.500 0.500 0.500


(8)
Here is crystalline BaMgIn2Ir at its relaxed geometry from the Alexandria database. Energies are from PBE-GGA.

Summary:
SG: No. 123
Total energy (eV/atom): -3.92
E_form (kJ per mole of atoms): -33.9

Unit cell a=5.229 b=5.229 c=5.132 alpha=90.00 beta=90.00 gamma=90.00
Positions (direct):
Ba1 0.000 0.000 0.000
Mg1 0.500 0.500 0.000
In1 0.000 0.500 0.500
In2 0.500 0.000 0.500
Ir1 0.500 0.500 0.500


(9)
Here is crystalline Cu2HPd2 at its relaxed geometry from the Alexandria database. Energies are from PBE-GGA.

Summary:
SG: No. 127
Relative energy among the computed polymorphs (meV per atom): 258.4
Total energy (eV/atom): -4.23

Unit cell a=5.140 b=5.140 c=4.600 alpha=90.00 beta=90.00 gamma=90.00
Positions (direct):
Cu1 0.172 0.328 0.000
Cu2 0.328 0.828 0.000
Cu3 0.672 0.172 0.000
Cu4 0.828 0.672 0.000
H1 0.000 0.000 0.000
H2 0.500 0.500 0.000
Pd1 0.178 0.678 0.500
Pd2 0.322 0.178 0.500
Pd3 0.678 0.822 0.500
Pd4 0.822 0.322 0.500


(10)
Here is crystalline SrDyAl at its relaxed geometry from the Alexandria database. Energies are from PBE-GGA.

Summary:
SG: No. 107
Relative energy among the computed polymorphs (meV per atom): 12.7
Total energy (eV/atom): -3.44
E_form (kJ per mole of atoms): -9.4

Unit cell a=7.285 b=7.285 c=7.285 alpha=150.16 beta=150.16 gamma=42.71
Positions (direct):
Sr1 0.000 0.000 0.000
Dy1 0.275 0.275 0.000
Al1 0.662 0.662 0.000


(11)
Here is crystalline PmMgNi2As2 at its relaxed geometry from the Alexandria database. Energies are from PBE-GGA.

Summary:
SG: No. 164
Total energy (eV/atom): -5.30
E_form (kJ per mole of atoms): -74.1

Unit cell a=4.134 b=4.134 c=6.875 alpha=90.00 beta=90.00 gamma=120.00
Positions (direct):
Pm1 0.000 0.000 0.000
Mg1 0.000 0.000 0.500
Ni1 0.333 0.667 0.675
Ni2 0.667 0.333 0.325
As1 0.333 0.667 0.273
As2 0.667 0.333 0.727


(12)
Here is crystalline NiAgP2 at its relaxed geometry from the Alexandria database. Energies are from PBE-GGA.

Summary:
SG: No. 10
Relative energy among the computed polymorphs (meV per atom): 81.6
Total energy (eV/atom): -4.86
E_form (kJ per mole of atoms): 0.4

Unit cell a=3.646 b=3.876 c=4.732 alpha=90.00 beta=94.70 gamma=90.00
Positions (direct):
Ni1 0.000 0.000 0.000
Ag1 0.500 0.000 0.500
P1 0.278 0.500 0.148
P2 0.722 0.500 0.852